Record 1
Material: HfSnHg2Br6
Method: DFT, PBE-GGA
State: optimized geometry

For the total magnetization, the calculation gives 0.0 μB/cell. The final energy is -3.261 eV/atom. The calculation puts the mass density at 5623 kg/m3.

Cell: 7.8937 7.8937 7.8937 Å, 60.00 60.00 60.00°
With the nearest neighbours (Å) after each atom.
Positions (direct):
Hf: 0.0000 0.0000 0.0000  6 Br 2.61
Sn: 0.5000 0.5000 0.5000  6 Br 2.97
Hg: 0.2500 0.2500 0.2500  12 Br 3.95
Hg: 0.7500 0.7500 0.7500  12 Br 3.95
Br: 0.2341 0.2341 0.7659  1 Hf 2.61
Br: 0.2341 0.7659 0.2341  1 Hf 2.61
Br: 0.2341 0.7659 0.7659  1 Hf 2.61
Br: 0.7659 0.2341 0.2341  1 Hf 2.61
Br: 0.7659 0.2341 0.7659  1 Hf 2.61
Br: 0.7659 0.7659 0.2341  1 Hf 2.61

***

Record 2
Material: HfTlHg2Br6
Method: DFT, PBE-GGA
State: optimized geometry

For the total magnetization, the calculation gives 0.5 μB/cell. The final energy is -3.082 eV/atom. The calculation puts the mass density at 5596 kg/m3.

Cell: 8.0937 8.0937 8.0937 Å, 60.00 60.00 60.00°
With the nearest neighbours (Å) after each atom.
Positions (direct):
Hf: 0.0000 0.0000 0.0000  6 Br 2.60
Tl: 0.5000 0.5000 0.5000  6 Br 3.12
Hg: 0.2500 0.2500 0.2500  12 Br 4.06
Hg: 0.7500 0.7500 0.7500  12 Br 4.06
Br: 0.2271 0.2271 0.7729  1 Hf 2.60
Br: 0.2271 0.7729 0.2271  1 Hf 2.60
Br: 0.2271 0.7729 0.7729  1 Hf 2.60
Br: 0.7729 0.2271 0.2271  1 Hf 2.60
Br: 0.7729 0.2271 0.7729  1 Hf 2.60
Br: 0.7729 0.7729 0.2271  1 Hf 2.60

***

Record 3
Material: HfZnHg2Br6
Method: DFT, PBE-GGA
State: optimized geometry

For the total magnetization, the calculation gives 0.0 μB/cell. The final energy is -2.901 eV/atom. The calculation puts the mass density at 6235 kg/m3.

Cell: 7.5100 7.5100 7.5100 Å, 60.00 60.00 60.00°
With the nearest neighbours (Å) after each atom.
Positions (direct):
Hf: 0.0000 0.0000 0.0000  6 Br 2.62
Zn: 0.5000 0.5000 0.5000  6 Br 2.69
Hg: 0.2500 0.2500 0.2500  12 Br 3.76
Hg: 0.7500 0.7500 0.7500  12 Br 3.76
Br: 0.2468 0.2468 0.7532  1 Hf 2.62, 1 Zn 2.69
Br: 0.2468 0.7532 0.2468  1 Hf 2.62, 1 Zn 2.69
Br: 0.2468 0.7532 0.7532  1 Hf 2.62, 1 Zn 2.69
Br: 0.7532 0.2468 0.2468  1 Hf 2.62, 1 Zn 2.69
Br: 0.7532 0.2468 0.7532  1 Hf 2.62, 1 Zn 2.69
Br: 0.7532 0.7532 0.2468  1 Hf 2.62, 1 Zn 2.69

***

Record 4
Material: HfI2Br2
Method: DFT, PBE-GGA
State: optimized geometry

For the total magnetization, the calculation gives 0.0 μB/cell. The final energy is -4.415 eV/atom. The calculation puts the mass density at 5032 kg/m3.

Cell: 7.2267 8.1290 7.0455 Å, 90.00 109.23 90.00°
With the nearest neighbours (Å) after each atom.
Positions (direct):
Hf: 0.0000 0.1648 0.2500  2 Br 2.48
Hf: 0.0000 0.8352 0.7500  2 Br 2.48
I: 0.2342 0.1177 0.9959  2 Hf 2.87-3.03
I: 0.2342 0.8823 0.4959  2 Hf 2.87-3.03
I: 0.7658 0.1177 0.5041  2 Hf 2.87-3.03
I: 0.7658 0.8823 0.0041  2 Hf 2.87-3.03
Br: 0.2399 0.3601 0.4689  1 Hf 2.48
Br: 0.2399 0.6399 0.9689  1 Hf 2.48
Br: 0.7601 0.3601 0.0311  1 Hf 2.48
Br: 0.7601 0.6399 0.5311  1 Hf 2.48

***

Record 5
Material: HfI2Br2
Method: DFT, PBE-GGA
State: optimized geometry

For the total magnetization, the calculation gives 0.0 μB/cell. The final energy is -4.409 eV/atom. The calculation puts the mass density at 5038 kg/m3.

Cell: 7.0617 8.6539 6.6490 Å, 90.00 106.15 90.00°
With the nearest neighbours (Å) after each atom.
Positions (direct):
Hf: 0.0000 0.1449 0.2500  4 Br 2.64-2.82, 2 I 2.69
Hf: 0.0000 0.8551 0.7500  4 Br 2.64-2.82, 2 I 2.69
I: 0.2576 0.3502 0.4803  1 Hf 2.69
I: 0.2576 0.6498 0.9803  1 Hf 2.69
I: 0.7424 0.3502 0.0197  1 Hf 2.69
I: 0.7424 0.6498 0.5197  1 Hf 2.69
Br: 0.2165 0.0982 0.9889  2 Hf 2.64-2.82
Br: 0.2165 0.9018 0.4889  2 Hf 2.64-2.82
Br: 0.7835 0.0982 0.5111  2 Hf 2.64-2.82
Br: 0.7835 0.9018 0.0111  2 Hf 2.64-2.82

***

Record 6
Material: Hf2IBrN2
Method: DFT, PBE-GGA
State: optimized geometry

For the total magnetization, the calculation gives 0.0 μB/cell. The final energy is -8.201 eV/atom. The calculation puts the mass density at 7347 kg/m3.

Cell: 3.6315 4.1175 8.9455 Å, 90.00 90.00 90.00°
With the nearest neighbours (Å) after each atom.
Positions (direct):
Hf: 0.0000 0.0000 0.0000  4 N 2.13-2.14
Hf: 0.5000 0.5000 0.1893  4 N 2.13-2.14
I: 0.0000 0.5000 0.4458  2 Hf 2.93
Br: 0.5000 0.0000 0.7682  2 Hf 2.76
N: 0.0000 0.5000 0.0624  4 Hf 2.13-2.14
N: 0.5000 0.0000 0.1266  4 Hf 2.13-2.14

***

Record 7
Material: HfS4I4Br2
Method: DFT, PBE-GGA
State: optimized geometry

For the total magnetization, the calculation gives 0.0 μB/cell. The final energy is -3.694 eV/atom. The calculation puts the mass density at 4114 kg/m3.

Cell: 7.7297 7.8496 8.4187 Å, 63.71 66.04 62.57°
With the nearest neighbours (Å) after each atom.
Positions (direct):
Hf: 0.0000 0.0000 0.0000  2 Br 2.62, 4 I 2.81-2.88
S: 0.2895 0.5998 0.4947  2 S 2.04-2.10
S: 0.4411 0.3430 0.6674  2 S 2.04-2.10
S: 0.5589 0.6570 0.3326  2 S 2.04-2.10
S: 0.7105 0.4002 0.5053  2 S 2.04-2.10
I: 0.0405 0.5820 0.1973  1 Hf 2.88, 1 S 3.16
I: 0.3888 0.8668 0.7766  1 Hf 2.81
I: 0.6112 0.1332 0.2234  1 Hf 2.81
I: 0.9595 0.4180 0.8027  1 Hf 2.88, 1 S 3.16
Br: 0.1571 0.0082 0.2189  1 Hf 2.62
Br: 0.8429 0.9918 0.7811  1 Hf 2.62

***

Record 8
Material: HfSe2IBr
Method: DFT, PBE-GGA
State: optimized geometry

For the total magnetization, the calculation gives 0.0 μB/cell. The final energy is -4.992 eV/atom. The calculation puts the mass density at 5716 kg/m3.

Cell: 7.0713 7.1144 7.7743 Å, 69.10 70.05 62.09°
With the nearest neighbours (Å) after each atom.
Positions (direct):
Hf: 0.1290 0.2243 0.9998  2 Br 2.72-2.82, 4 Se 2.72-2.78, 1 I 2.95
Hf: 0.8710 0.7757 0.0002  2 Br 2.72-2.82, 4 Se 2.72-2.78, 1 I 2.95
Se: 0.0627 0.5814 0.6956  1 Se 2.36
Se: 0.2531 0.4710 0.1022  1 Se 2.36
Se: 0.7469 0.5290 0.8978  1 Se 2.36
Se: 0.9373 0.4186 0.3044  1 Se 2.36
I: 0.4120 0.8499 0.2452  2 Hf 2.95-3.06
I: 0.5880 0.1501 0.7548  2 Hf 2.95-3.06
Br: 0.1600 0.9838 0.7799  2 Hf 2.72-2.82
Br: 0.8400 0.0162 0.2201  2 Hf 2.72-2.82

***

Record 9
Material: HfIn2Br6
Method: DFT, PBE-GGA
State: optimized geometry

For the total magnetization, the calculation gives 0.0 μB/cell. The final energy is -3.940 eV/atom. The calculation puts the mass density at 4629 kg/m3. The polymorph energy (0 for the lowest one) is 0.000 eV/atom.

Cell: 7.3893 8.4402 12.4590 Å, 90.00 124.97 90.00°
With the nearest neighbours (Å) after each atom.
Positions (direct):
Hf: 0.0000 0.0000 0.0000  6 Br 2.62-2.64
Hf: 0.0000 0.5000 0.5000  6 Br 2.62-2.64
In: 0.2746 0.1029 0.7591  7 Br 3.25-3.63
In: 0.2746 0.3971 0.2591  7 Br 3.25-3.63
In: 0.7254 0.6029 0.7409  7 Br 3.25-3.63
In: 0.7254 0.8971 0.2409  7 Br 3.25-3.63
Br: 0.1588 0.0233 0.2495  1 Hf 2.63
Br: 0.1588 0.4767 0.7495  1 Hf 2.63
Br: 0.2195 0.7349 0.0476  1 Hf 2.62
Br: 0.2195 0.7651 0.5476  1 Hf 2.62
Br: 0.3379 0.1650 0.0421  1 Hf 2.64
Br: 0.3379 0.3350 0.5421  1 Hf 2.64
Br: 0.6621 0.6650 0.4579  1 Hf 2.64
Br: 0.6621 0.8350 0.9579  1 Hf 2.64
Br: 0.7805 0.2349 0.4524  1 Hf 2.62
Br: 0.7805 0.2651 0.9524  1 Hf 2.62
Br: 0.8412 0.5233 0.2505  1 Hf 2.63
Br: 0.8412 0.9767 0.7505  1 Hf 2.63

***

Record 10
Material: HfIn2Br6
Method: DFT, PBE-GGA
State: optimized geometry

For the total magnetization, the calculation gives 0.0 μB/cell. The final energy is -3.921 eV/atom. The calculation puts the mass density at 4931 kg/m3. The polymorph energy (0 for the lowest one) is 0.019 eV/atom.

Cell: 7.4066 7.4066 10.8975 Å, 90.00 90.00 90.00°
With the nearest neighbours (Å) after each atom.
Positions (direct):
Hf: 0.0000 0.0000 0.0000  6 Br 2.62
Hf: 0.5000 0.5000 0.5000  6 Br 2.62
In: 0.0000 0.5000 0.2500  8 Br 3.40-3.70
In: 0.0000 0.5000 0.7500  8 Br 3.40-3.70
In: 0.5000 0.0000 0.2500  8 Br 3.40-3.70
In: 0.5000 0.0000 0.7500  8 Br 3.40-3.70
Br: 0.0000 0.0000 0.2407  1 Hf 2.62
Br: 0.0000 0.0000 0.7593  1 Hf 2.62
Br: 0.1884 0.2990 0.0000  1 Hf 2.62
Br: 0.2010 0.3116 0.5000  1 Hf 2.62
Br: 0.2990 0.8116 0.0000  1 Hf 2.62
Br: 0.3116 0.7990 0.5000  1 Hf 2.62
Br: 0.5000 0.5000 0.2593  1 Hf 2.62
Br: 0.5000 0.5000 0.7407  1 Hf 2.62
Br: 0.6884 0.2010 0.5000  1 Hf 2.62
Br: 0.7010 0.1884 0.0000  1 Hf 2.62
Br: 0.7990 0.6884 0.5000  1 Hf 2.62
Br: 0.8116 0.7010 0.0000  1 Hf 2.62

***

Record 11
Material: HfIn2Br6
Method: DFT, PBE-GGA
State: optimized geometry

For the total magnetization, the calculation gives 0.0 μB/cell. The final energy is -3.905 eV/atom. The calculation puts the mass density at 5033 kg/m3. The polymorph energy (0 for the lowest one) is 0.035 eV/atom.

Cell: 7.4558 7.4558 7.4558 Å, 120.05 120.05 89.91°
With the nearest neighbours (Å) after each atom.
Positions (direct):
Hf: 0.0000 0.0000 0.0000  6 Br 2.61
In: 0.2500 0.7500 0.5000  12 Br 3.73
In: 0.7500 0.2500 0.5000  12 Br 3.73
Br: 0.2473 0.2473 0.0000  1 Hf 2.61
Br: 0.2476 0.2476 0.4953  1 Hf 2.61
Br: 0.2476 0.7524 0.0000  1 Hf 2.61
Br: 0.7524 0.2476 0.0000  1 Hf 2.61
Br: 0.7524 0.7524 0.5047  1 Hf 2.61
Br: 0.7527 0.7527 0.0000  1 Hf 2.61

***

Record 12
Material: HfIn2NiBr6
Method: DFT, PBE-GGA
State: optimized geometry

For the total magnetization, the calculation gives 0.0 μB/cell. The final energy is -3.754 eV/atom. The calculation puts the mass density at 5427 kg/m3.

Cell: 7.4259 7.4259 7.4259 Å, 60.00 60.00 60.00°
With the nearest neighbours (Å) after each atom.
Positions (direct):
Hf: 0.0000 0.0000 0.0000  6 Br 2.65
In: 0.2500 0.2500 0.2500  12 Br 3.71
In: 0.7500 0.7500 0.7500  12 Br 3.71
Ni: 0.5000 0.5000 0.5000  6 Br 2.60
Br: 0.2522 0.2522 0.7478  1 Ni 2.60, 1 Hf 2.65
Br: 0.2522 0.7478 0.2522  1 Ni 2.60, 1 Hf 2.65
Br: 0.2522 0.7478 0.7478  1 Ni 2.60, 1 Hf 2.65
Br: 0.7478 0.2522 0.2522  1 Ni 2.60, 1 Hf 2.65
Br: 0.7478 0.2522 0.7478  1 Ni 2.60, 1 Hf 2.65
Br: 0.7478 0.7478 0.2522  1 Ni 2.60, 1 Hf 2.65